(1)
Here is AlCdRu2 at its PBEsol-relaxed geometry from the Alexandria database. Energies are from SCAN.

Its calculated density is 9.5 Mg/m³. The energy is -26.9539 eV/atom.

It has space group C2/m (No. 12), with a = 8.650 Å, b = 2.829 Å, c = 5.016 Å, α = 90.00°, β = 102.40° and γ = 90.00°. The distinct sites, in fractional coordinates, are Al at (0.000, 0.000, 0.000), Cd at (0.000, 0.500, 0.500) and Ru at (0.237, 0.500, 0.217).

***

(2)
Here is MgFeOs3 at its PBEsol-relaxed geometry from the Alexandria database. Energies are from SCAN.

Its calculated density is 12.8 Mg/m³. Its offset from the most stable computed form is 0.000 eV/atom.

It has space group Pm-3m (No. 221), with a = 4.390 Å, b = 4.390 Å, c = 4.390 Å, α = 90.00°, β = 90.00° and γ = 90.00°. The distinct sites, in fractional coordinates, are Mg at (0.000, 0.000, 0.000), Fe at (0.500, 0.500, 0.500) and Os at (0.000, 0.500, 0.500).

***

(3)
Here is Li2TaTc at its PBEsol-relaxed geometry from the Alexandria database. Energies are from SCAN.

Its calculated density is 8.0 Mg/m³. Its offset from the most stable computed form is 0.049 eV/atom.

It has space group P2/m (No. 10), with a = 2.649 Å, b = 4.892 Å, c = 4.770 Å, α = 90.00°, β = 99.57° and γ = 90.00°. The distinct sites, in fractional coordinates, are Li at (0.222, 0.000, 0.264), Ta at (0.500, 0.500, 0.000) and Tc at (0.000, 0.500, 0.500).

***

(4)
Here is CrCS3 at its PBEsol-relaxed geometry from the Alexandria database. Energies are from SCAN.

The value obtained for the raw formation energy is 5.32 eV/f.u. Its calculated density is 4.1 Mg/m³.

It has space group Pm-3m (No. 221), with a = 4.024 Å, b = 4.024 Å, c = 4.024 Å, α = 90.00°, β = 90.00° and γ = 90.00°. The distinct sites, in fractional coordinates, are Cr at (0.000, 0.000, 0.000), C at (0.500, 0.500, 0.500) and S at (0.000, 0.500, 0.500).